Computed, not measured: BaNa2Hg2Pd2 after structural relaxation at the PBE-GGA level of DFT.

abc: 4.7993 4.7993 9.8738
angles: 75.93 75.93 60.00
Element x y z (fractional)
Hg  0.7481  0.7481  0.7556
Pd  0.4121  0.4121  0.7636
Na  0.1336  0.1336  0.5993
Hg  0.2519  0.2519  0.2444
Pd  0.5879  0.5879  0.2364
Na  0.8664  0.8664  0.4007
Ba  0.0000  0.0000  0.0000

Results
calculated formation energy: -0.33 eV per atom